1.
Compound: ScSb2TeSe
Source: Alexandria via LeMat-Bulk
Functional: PBE
Structure: relaxed

Summary:
space-group type: No. 123
total magnetization: 0.00 μB per cell
offset from the most stable computed form: 0.0000 eV per atom

a = 5.530 Å, b = 5.530 Å, c = 5.297 Å
α = 90.00°, β = 90.00°, γ = 90.00°
Atoms (fractional coordinates):
1 Sb 0.500 0.000 0.000
2 Sb 0.000 0.500 0.000
3 Te 0.000 0.000 0.500
4 Sc 0.000 0.000 0.000
5 Se 0.500 0.500 0.500

---

2.
Compound: Zr2CrPb
Source: Alexandria via LeMat-Bulk
Functional: PBE
Structure: relaxed

Summary:
space-group type: No. 216
total magnetization: 0.08 μB per cell
formation energy: 0.9 eV/f.u.

a = 4.904 Å, b = 4.904 Å, c = 4.904 Å
α = 60.00°, β = 60.00°, γ = 60.00°
Last column: magnetic moment on the atom in μB.
Atoms (fractional coordinates):
1 Zr 0.250 0.250 0.250  -0.86
2 Zr 0.000 0.000 0.000  -1.10
3 Cr 0.500 0.500 0.500  2.73
4 Pb 0.750 0.750 0.750  -0.04

---

3.
Compound: RbAlO2
Source: Alexandria via LeMat-Bulk
Functional: PBE
Structure: relaxed

Summary:
space-group type: No. 123
electronic total energy: -4.25 eV per atom
total magnetization: 0.29 μB per cell

a = 3.498 Å, b = 3.498 Å, c = 5.015 Å
α = 90.00°, β = 90.00°, γ = 90.00°
Last column: magnetic moment on the atom in μB.
Atoms (fractional coordinates):
1 O 0.000 0.000 0.000  -0.24
2 O 0.500 0.500 0.500  0.00
3 Al 0.000 0.000 0.500  0.01
4 Rb 0.500 0.500 0.000  -0.04

---

4.
Compound: Zn3C
Source: Alexandria via LeMat-Bulk
Functional: PBE
Structure: relaxed

Summary:
space-group type: No. 139
total magnetization: 0.00 μB per cell
formation energy: 4.0 eV/f.u.

a = 8.645 Å, b = 8.645 Å, c = 8.645 Å
α = 155.99°, β = 155.99°, γ = 34.21°
Atoms (fractional coordinates):
1 Zn 0.129 0.129 0.000
2 Zn 0.000 0.500 0.500
3 Zn 0.500 0.000 0.500
4 Zn 0.750 0.250 0.500
5 Zn 0.871 0.871 0.000
6 Zn 0.250 0.750 0.500
7 C 0.414 0.414 0.000
8 C 0.586 0.586 0.000

---

5.
Compound: Ba2Ni2Ag
Source: Alexandria via LeMat-Bulk
Functional: PBE
Structure: relaxed

Summary:
space-group type: No. 127
total magnetization: 0.00 μB per cell
formation energy: 0.5 eV/f.u.
offset from the most stable computed form: 0.0000 eV per atom

a = 7.790 Å, b = 7.790 Å, c = 4.405 Å
α = 90.00°, β = 90.00°, γ = 90.00°
Atoms (fractional coordinates):
1 Ba 0.316 0.184 0.500
2 Ba 0.816 0.316 0.500
3 Ba 0.184 0.684 0.500
4 Ba 0.684 0.816 0.500
5 Ag 0.000 0.000 0.000
6 Ag 0.500 0.500 0.000
7 Ni 0.895 0.605 0.000
8 Ni 0.105 0.395 0.000
9 Ni 0.605 0.105 0.000
10 Ni 0.395 0.895 0.000

---

6.
Compound: ErMgCuAu
Source: Alexandria via LeMat-Bulk
Functional: PBE
Structure: relaxed

Summary:
space-group type: No. 216
total magnetization: 0.00 μB per cell
formation energy: -2.0 eV/f.u.

a = 4.790 Å, b = 4.790 Å, c = 4.790 Å
α = 60.00°, β = 60.00°, γ = 60.00°
Atoms (fractional coordinates):
1 Cu 0.250 0.250 0.250
2 Au 0.750 0.750 0.750
3 Mg 0.500 0.500 0.500
4 Er 0.000 0.000 0.000

---

7.
Compound: In2SbWS
Source: Alexandria via LeMat-Bulk
Functional: PBE
Structure: relaxed

Summary:
space-group type: No. 123
electronic total energy: -3.54 eV per atom
total magnetization: 0.43 μB per cell

a = 5.575 Å, b = 4.923 Å, c = 5.575 Å
α = 90.00°, β = 90.00°, γ = 90.00°
Last column: magnetic moment on the atom in μB.
Atoms (fractional coordinates):
1 Sb 0.000 0.000 0.000  0.03
2 In 0.000 0.000 0.500  0.02
3 In 0.500 0.000 0.000  0.02
4 S 0.000 0.500 0.000  0.00
5 W 0.500 0.500 0.500  0.22

---

8.
Compound: TeAs2Pb
Source: Alexandria via LeMat-Bulk
Functional: PBE
Structure: relaxed

Summary:
space-group type: No. 35
total magnetization: 0.00 μB per cell
offset from the most stable computed form: 0.3096 eV per atom

a = 3.275 Å, b = 3.275 Å, c = 10.757 Å
α = 90.00°, β = 90.00°, γ = 111.96°
Atoms (fractional coordinates):
1 Pb 0.000 0.000 0.494
2 As 0.000 0.000 0.044
3 As 0.500 0.500 0.207
4 Te 0.500 0.500 0.756